# CrTcRu2 PBEsol optimized geometry
# **E_form**: 0.111 eV/atom
# **DOS at the Fermi energy**: 9.61 states/eV per cell
data_CrTcRu2
_cell_length_a 5.288
_cell_length_b 7.448
_cell_length_c 2.655
_cell_angle_alpha 90.00
_cell_angle_beta 90.00
_cell_angle_gamma 90.00
_space_group_name_H-M_alt 'C m m m'
_space_group_IT_number 65
_space_group_name_Hall '-C 2 2'
loop_
_atom_site_label
_atom_site_fract_x
_atom_site_fract_y
_atom_site_fract_z
Cr1 0.000 0.000 0.000
Tc1 0.000 0.500 0.000
Ru1 0.250 0.250 0.500

=====

# Cr4TeRu PBEsol optimized geometry
# **Energy relative to the elements, uncorrected**: 400 meV/atom
# **DOS at the Fermi energy**: 24.31 states/eV per cell
data_Cr4TeRu
_cell_length_a 6.764
_cell_length_b 6.764
_cell_length_c 6.764
_cell_angle_alpha 90.00
_cell_angle_beta 90.00
_cell_angle_gamma 90.00
_space_group_name_H-M_alt 'F -4 3 m'
_space_group_IT_number 216
_space_group_name_Hall 'F -4 2 3'
loop_
_atom_site_label
_atom_site_fract_x
_atom_site_fract_y
_atom_site_fract_z
Cr1 0.124 0.124 0.124
Te1 0.250 0.250 0.750
Ru1 0.000 0.000 0.500

=====

# TlCr3Ru PBEsol optimized geometry
# **E_form**: 2.491 eV/atom
# **DOS at the Fermi energy**: 12.16 states/eV per cell
data_TlCr3Ru
_cell_length_a 4.911
_cell_length_b 4.911
_cell_length_c 4.911
_cell_angle_alpha 90.00
_cell_angle_beta 90.00
_cell_angle_gamma 90.00
_space_group_name_H-M_alt 'P m -3 m'
_space_group_IT_number 221
_space_group_name_Hall '-P 4 2 3'
loop_
_atom_site_label
_atom_site_fract_x
_atom_site_fract_y
_atom_site_fract_z
Tl1 0.000 0.000 0.000
Cr1 0.000 0.000 0.500
Ru1 0.500 0.500 0.500

=====

# TlCr2Ru PBEsol optimized geometry
# **E_form**: 0.720 eV/atom
# **DOS at the Fermi energy**: 13.48 states/eV per cell
data_TlCr2Ru
_cell_length_a 2.7855
_cell_length_b 2.7855
_cell_length_c 25.9678
_cell_angle_alpha 90.00
_cell_angle_beta 90.00
_cell_angle_gamma 120.00
_space_group_name_H-M_alt 'R -3 m'
_space_group_IT_number 166
_space_group_name_Hall '-R 3 2"'
loop_
_atom_site_label
_atom_site_fract_x
_atom_site_fract_y
_atom_site_fract_z
Tl1 0.0000 0.0000 0.0000
Cr1 0.0000 0.0000 0.2428
Ru1 0.0000 0.0000 0.5000

=====

# TlCrRu2 PBEsol optimized geometry
# **Energy relative to the lowest polymorph listed for this composition**: 59 meV per atom
# **E_form**: 0.611 eV/atom
# **DOS at the Fermi energy**: 5.58 states/eV per cell
data_TlCrRu2
_cell_length_a 3.089
_cell_length_b 3.089
_cell_length_c 6.320
_cell_angle_alpha 90.00
_cell_angle_beta 90.00
_cell_angle_gamma 90.00
_space_group_name_H-M_alt 'P 4 m m'
_space_group_IT_number 99
loop_
_space_group_symop_operation_xyz
'x,y,z'
'-y,x,z'
'-x,-y,z'
'y,-x,z'
'-x,y,z'
'y,x,z'
'x,-y,z'
'-y,-x,z'
loop_
_atom_site_label
_atom_site_fract_x
_atom_site_fract_y
_atom_site_fract_z
Tl1 0.000 0.000 0.000
Cr1 0.500 0.500 0.301
Ru1 0.000 0.000 0.462
Ru2 0.500 0.500 0.717

=====

# TlCrRu PBEsol optimized geometry
# **E_form**: 1.269 eV/atom
# **DOS at the Fermi energy**: 18.90 states/eV per cell
data_TlCrRu
_cell_length_a 6.168
_cell_length_b 6.168
_cell_length_c 6.168
_cell_angle_alpha 90.00
_cell_angle_beta 90.00
_cell_angle_gamma 90.00
_space_group_name_H-M_alt 'F -4 3 m'
_space_group_IT_number 216
_space_group_name_Hall 'F -4 2 3'
loop_
_atom_site_label
_atom_site_fract_x
_atom_site_fract_y
_atom_site_fract_z
Tl1 0.000 0.000 0.000
Cr1 0.250 0.250 0.750
Ru1 0.250 0.250 0.250